Material: Fe15O16
Method: DFT, GGA-PBEsol
State: optimized geometry

Results
uncorrected formation energy = -0.875 eV/atom
V = 9.7 Å³/atom
total moment = 1.8584 μB per atom

Lattice parameters (Å, degrees): 6.047 5.939 8.390 90.71 90.63 88.60
Site moments in Bohr magnetons follow the coordinates.
Positions (direct):
Fe: 0.694 0.249 0.280  3.47
Fe: 0.052 0.190 0.106  3.43
Fe: 0.499 0.481 0.486  3.52
Fe: 0.012 0.578 0.008  3.43
Fe: 0.747 0.740 0.244  3.66
Fe: 0.245 0.766 0.746  3.62
Fe: 0.508 0.013 0.000  3.65
Fe: 0.503 0.018 0.485  3.60
Fe: 0.016 0.001 0.514  3.57
Fe: 0.224 0.234 0.747  3.65
Fe: 0.738 0.254 0.774  3.64
Fe: 0.005 0.505 0.491  3.65
Fe: 0.515 0.494 0.998  1.23
Fe: 0.759 0.761 0.744  3.70
Fe: 0.227 0.751 0.243  3.61
O: 0.991 0.478 0.246  0.37
O: 0.739 0.744 0.498  0.32
O: 0.971 0.988 0.271  0.27
O: 0.499 0.005 0.742  0.33
O: 0.765 0.253 0.522  0.32
O: 0.290 0.279 0.982  0.23
O: 0.748 0.253 0.018  0.27
O: 0.490 0.509 0.231  0.24
O: 0.506 0.509 0.759  0.25
O: 0.295 0.734 0.993  0.23
O: 0.257 0.744 0.496  0.32
O: 0.723 0.733 0.994  0.25
O: 0.484 0.988 0.245  0.34
O: 0.988 0.003 0.766  0.35
O: 0.250 0.256 0.507  0.33
O: 0.003 0.507 0.755  0.34